# 1
# CdInAg5 PBE-GGA relaxed
data_CdInAg5
_chemical_formula_sum 'Cd4 In4 Ag20'
_cell_length_a 9.798
_cell_length_b 10.385
_cell_length_c 5.845
_cell_angle_alpha 90.00
_cell_angle_beta 107.26
_cell_angle_gamma 90.00
_symmetry_space_group_name_H-M 'C 1 2/c 1'
_symmetry_Int_Tables_number 15
loop_
_symmetry_equiv_pos_as_xyz
'x,y,z'
'-x,-y,-z'
'-x,y,-z+1/2'
'x,-y,z+1/2'
'x+1/2,y+1/2,z'
'-x+1/2,-y+1/2,-z'
'-x+1/2,y+1/2,-z+1/2'
'x+1/2,-y+1/2,z+1/2'
loop_
_atom_site_label
_atom_site_fract_x
_atom_site_fract_y
_atom_site_fract_z
Cd1 0.000 0.000 0.000
In1 0.000 0.377 0.250
Ag1 0.000 0.323 0.750
Ag2 0.227 0.137 0.361
Ag3 0.233 0.131 0.869
# formation energy = 4 kJ/mol of atoms
# excess energy over the best structure of this formula in the dataset = 20 meV per atom



# 2
# Tm4MgZn PBE-GGA relaxed
data_Tm4MgZn
_chemical_formula_sum 'Tm4 Mg1 Zn1'
_cell_length_a 4.905
_cell_length_b 4.905
_cell_length_c 7.448
_cell_angle_alpha 90.00
_cell_angle_beta 90.00
_cell_angle_gamma 90.00
_symmetry_space_group_name_H-M 'P 4/m m m'
_symmetry_Int_Tables_number 123
_symmetry_space_group_name_Hall '-P 4 2'
loop_
_atom_site_label
_atom_site_fract_x
_atom_site_fract_y
_atom_site_fract_z
Tm1 0.000 0.500 0.226
Mg1 0.000 0.000 0.500
Zn1 0.500 0.500 0.000
# formation energy = 21 kJ/mol of atoms



# 3
# ZnCr2Ni PBE-GGA relaxed
data_ZnCr2Ni
_chemical_formula_sum 'Zn2 Cr4 Ni2'
_cell_length_a 8.366
_cell_length_b 2.444
_cell_length_c 4.685
_cell_angle_alpha 90.00
_cell_angle_beta 95.42
_cell_angle_gamma 90.00
_symmetry_space_group_name_H-M 'C 1 m 1'
_symmetry_Int_Tables_number 8
loop_
_symmetry_equiv_pos_as_xyz
'x,y,z'
'x,-y,z'
'x+1/2,y+1/2,z'
'x+1/2,-y+1/2,z'
loop_
_atom_site_label
_atom_site_fract_x
_atom_site_fract_y
_atom_site_fract_z
Zn1 0.000 0.000 0.000
Cr1 0.248 0.000 0.725
Cr2 0.484 0.000 0.497
Ni1 0.247 0.500 0.228
# formation energy = 15 kJ/mol of atoms



# 4
# TlBiP2Se6 PBE-GGA relaxed
data_TlBiP2Se6
_chemical_formula_sum 'Tl8 Bi8 P16 Se48'
_cell_length_a 12.673
_cell_length_b 7.706
_cell_length_c 23.468
_cell_angle_alpha 90.00
_cell_angle_beta 97.47
_cell_angle_gamma 90.00
_symmetry_space_group_name_H-M 'P 1 21/c 1'
_symmetry_Int_Tables_number 14
loop_
_symmetry_equiv_pos_as_xyz
'x,y,z'
'-x,-y,-z'
'-x,y+1/2,-z+1/2'
'x,-y+1/2,z+1/2'
loop_
_atom_site_label
_atom_site_fract_x
_atom_site_fract_y
_atom_site_fract_z
Tl1 0.082 0.096 0.175
Tl2 0.158 0.581 0.076
Bi1 0.298 0.148 0.919
Bi2 0.440 0.649 0.827
P1 0.101 0.098 0.348
P2 0.167 0.621 0.907
P3 0.363 0.096 0.096
P4 0.423 0.626 0.656
Se1 0.036 0.509 0.209
Se2 0.039 0.731 0.949
Se3 0.069 0.192 0.909
Se4 0.228 0.689 0.346
Se5 0.235 0.506 0.534
Se6 0.244 0.187 0.308
Se7 0.292 0.717 0.701
Se8 0.299 0.000 0.467
Se9 0.321 0.200 0.655
Se10 0.449 0.001 0.781
Se11 0.486 0.681 0.099
Se12 0.491 0.689 0.439
# calculated total energy = -4.043 eV per atom



Number 1: calculated density 8.965 Mg/m³. Number 2: calculated density 7.092 Mg/m³. Number 3: calculated density 7.944 Mg/m³. Number 4: calculated density 5.548 Mg/m³.